1.
The following is a DFT calculation (PBE) of an optimized crystal structure of ScB2Sb.

The crystal system is tetragonal. The calculation puts the total energy at -86.19 eV per cell. As for the formation energy without anion corrections: 566 meV per atom. The calculation puts the density of states at the Fermi level at 1.670 states/eV/f.u.

It has space group I-42d (No. 122), with a = 6.316 Å, b = 6.316 Å, c = 6.360 Å, α = 90.00°, β = 90.00° and γ = 90.00°. The distinct sites, in fractional coordinates, are Sc at (0.000, 0.000, 0.000), B at (0.226, 0.250, 0.625) and Sb at (0.000, 0.000, 0.500).



2.
The following is a DFT calculation (PBE) of an optimized crystal structure of KS3Br.

The crystal system is cubic. The calculation puts the total energy at -9.62 eV per cell. As for the formation energy without anion corrections: 1106 meV per atom. The calculation puts the density of states at the Fermi level at 3.160 states/eV/f.u. The distance to the lowest polymorph of the same formula is 8.43 eV/f.u.

It has space group Pm-3m (No. 221), with a = 6.115 Å, b = 6.115 Å, c = 6.115 Å, α = 90.00°, β = 90.00° and γ = 90.00°. The distinct sites, in fractional coordinates, are K at (0.000, 0.000, 0.000), S at (0.000, 0.000, 0.500) and Br at (0.500, 0.500, 0.500).



| no. | total magnetic moment (μB per atom) |
| --- | --- |
| 1 | 0.00 |
| 2 | 1.20 |